(1)
## PrNdY3Th (PBE)

Data for a geometry-optimized PrNdY3Th structure.

Lattice parameters (Å, degrees): 10.8080 3.6164 10.8605 90.00 109.09 90.00
Space group P2_1/m (No. 11)
Unique sites:
Pr 0.2097 0.2500 0.3733 (multiplicity 2)
Nd 0.1300 0.7500 0.6320 (multiplicity 2)
Y 0.0436 0.2500 0.8767 (multiplicity 2)
Y 0.2945 0.7500 0.1185 (multiplicity 2)
Y 0.4596 0.7500 0.6310 (multiplicity 2)
Th 0.3789 0.2500 0.8776 (multiplicity 2)

## Properties
M_tot	0.00	μB per atom
final energy	-72.4	eV/cell
density of states at the Fermi level	18.2	states/eV per cell


(2)
## Pr6NdY2Th (PBE)

Data for a geometry-optimized Pr6NdY2Th structure.

Lattice parameters (Å, degrees): 9.6262 15.1660 9.7498 90.00 96.95 90.00
Space group C2/c (No. 15)
Unique sites:
Pr 0.0666 0.1714 0.4378 (multiplicity 8)
Pr 0.0912 0.3907 0.6168 (multiplicity 8)
Pr 0.2046 0.2172 0.8115 (multiplicity 8)
Nd 0.0000 0.4050 0.2500 (multiplicity 4)
Y 0.2421 0.0440 0.0547 (multiplicity 8)
Th 0.0000 0.0353 0.7500 (multiplicity 4)

## Properties
M_tot	0.00	μB per atom
final energy	-209.6	eV/cell
density of states at the Fermi level	56.8	states/eV per cell


(3)
## Pr5NdY2Th (PBE)

Data for a geometry-optimized Pr5NdY2Th structure.

Lattice parameters (Å, degrees): 5.7744 20.7116 10.6697 90.00 90.00 90.00
Space group Cmc2_1 (No. 36)
Unique sites:
Pr 0.0000 0.0162 0.0000 (multiplicity 4)
Pr 0.0000 0.2776 0.2907 (multiplicity 4)
Pr 0.0000 0.2920 0.6799 (multiplicity 4)
Pr 0.0000 0.3883 0.0048 (multiplicity 4)
Pr 0.0000 0.4783 0.7215 (multiplicity 4)
Nd 0.0000 0.4090 0.4289 (multiplicity 4)
Y 0.0000 0.1129 0.7134 (multiplicity 4)
Y 0.0000 0.1170 0.2965 (multiplicity 4)
Th 0.0000 0.2000 0.9894 (multiplicity 4)

## Properties
M_tot	0.00	μB per atom
final energy	-190.5	eV/cell
density of states at the Fermi level	53.2	states/eV per cell


(4)
## PrNd3YTh (PBE)

Data for a geometry-optimized PrNd3YTh structure.

Lattice parameters (Å, degrees): 8.1806 5.1653 10.3227 90.00 108.35 90.00
Space group P2_1/m (No. 11)
Unique sites:
Pr 0.1785 0.2500 0.2955 (multiplicity 2)
Nd 0.1712 0.2500 0.7916 (multiplicity 2)
Nd 0.1717 0.7500 0.0443 (multiplicity 2)
Nd 0.1798 0.7500 0.5448 (multiplicity 2)
Y 0.4992 0.7500 0.8715 (multiplicity 2)
Th 0.5002 0.2500 0.6213 (multiplicity 2)

## Properties
M_tot	0.00	μB per atom
final energy	-65.5	eV/cell
density of states at the Fermi level	18.4	states/eV per cell


(5)
## Pr2Nd3Y6Th (PBE)

Data for a geometry-optimized Pr2Nd3Y6Th structure.

Lattice parameters (Å, degrees): 6.3009 10.9081 11.8843 90.00 100.17 90.00
Space group C2/m (No. 12)
Unique sites:
Pr 0.0000 0.1666 0.0000 (multiplicity 4)
Nd 0.0000 0.0000 0.5000 (multiplicity 2)
Nd 0.0000 0.3328 0.5000 (multiplicity 4)
Y 0.2461 0.5000 0.7516 (multiplicity 4)
Y 0.2477 0.3353 0.2483 (multiplicity 8)
Th 0.0000 0.5000 0.0000 (multiplicity 2)

## Properties
M_tot	0.00	μB per atom
final energy	-139.6	eV/cell
density of states at the Fermi level	29.9	states/eV per cell


(6)
## Pr5Nd2YTh (PBE)

Data for a geometry-optimized Pr5Nd2YTh structure.

Lattice parameters (Å, degrees): 5.5134 22.2142 10.6281 90.00 90.00 90.00
Space group Cmcm (No. 63)
Unique sites:
Pr 0.0000 0.0000 0.0000 (multiplicity 4)
Pr 0.0000 0.1278 0.2500 (multiplicity 4)
Pr 0.0000 0.2234 0.5584 (multiplicity 8)
Pr 0.0000 0.4984 0.7500 (multiplicity 4)
Nd 0.0000 0.3870 0.0027 (multiplicity 8)
Y 0.0000 0.1026 0.7500 (multiplicity 4)
Th 0.0000 0.2886 0.2500 (multiplicity 4)

## Properties
M_tot	0.00	μB per atom
final energy	-184.5	eV/cell
density of states at the Fermi level	50.3	states/eV per cell


(7)
## PrNd6Y2Th (PBE)

Data for a geometry-optimized PrNd6Y2Th structure.

Lattice parameters (Å, degrees): 9.6120 15.1200 9.6571 90.00 96.28 90.00
Space group C2/c (No. 15)
Unique sites:
Pr 0.0000 0.0948 0.2500 (multiplicity 4)
Nd 0.0657 0.3290 0.4374 (multiplicity 8)
Nd 0.0908 0.1114 0.6160 (multiplicity 8)
Nd 0.2038 0.2820 0.8117 (multiplicity 8)
Y 0.2438 0.4550 0.0553 (multiplicity 8)
Th 0.0000 0.4638 0.7500 (multiplicity 4)

## Properties
M_tot	0.00	μB per atom
final energy	-209.3	eV/cell
density of states at the Fermi level	57.2	states/eV per cell


(8)
## PrNd2Y5Th (PBE)

Data for a geometry-optimized PrNd2Y5Th structure.

Lattice parameters (Å, degrees): 8.7720 8.7720 15.6088 90.00 90.00 90.00
Space group I4/mcm (No. 140)
Unique sites:
Pr 0.0000 0.5000 0.2500 (multiplicity 4)
Nd 0.1163 0.3837 0.0000 (multiplicity 8)
Y 0.0000 0.0000 0.0000 (multiplicity 4)
Y 0.2115 0.2885 0.3616 (multiplicity 16)
Th 0.0000 0.0000 0.2500 (multiplicity 4)

## Properties
M_tot	0.00	μB per atom
final energy	-206.4	eV/cell
density of states at the Fermi level	44.9	states/eV per cell